VASP calculation (PBE+U) on a relaxed structure of TaMnTlO6.

The calculation puts the magnetization at 3.01 μB/f.u. The value obtained for the total energy is -7.38 eV per atom. The calculated volume is 218.57 Å³/cell. As for the crystal system: tetragonal.

The space group is P4_2nm (No. 102) and the conventional cell measures 4.808, 4.808 and 9.457 Å, with angles of 90.00, 90.00 and 90.00 degrees. Symmetry generates all atoms from Ta at (0.000, 0.000, 0.000), Mn at (0.000, 0.000, 0.662), Tl at (0.000, 0.000, 0.330), O at (0.174, 0.174, 0.825), O at (0.204, 0.204, 0.516) and O at (0.216, 0.216, 0.141).